Entry 1:
First-principles (PBE) data for an optimized crystal structure of NbSbH2, as listed in the Alexandria database.

Properties
* polymorph energy (0 for the lowest one): 0.560 eV/atom
* M_tot: 0.00 Bohr magnetons per cell
* raw total energy: -4.407 eV per atom

a b c (Å): 4.1065 4.1065 4.1065
angles (deg): 60.00 60.00 60.00
Positions (direct):
Nb  0.0000  0.0000  0.0000
Sb  0.5000  0.5000  0.5000
H  0.2500  0.2500  0.2500
H  0.7500  0.7500  0.7500


Entry 2:
First-principles (PBE) data for an optimized crystal structure of CsLi2BAu, as listed in the Alexandria database.

Properties
* M_tot: 0.00 Bohr magnetons per cell
* DFT formation energy: 0.205 eV per atom
* raw total energy: -2.722 eV per atom

a b c (Å): 5.2755 5.2755 4.1958
angles (deg): 90.00 90.00 90.00
Positions (direct):
Cs  0.0000  0.0000  0.0000
Li  0.0000  0.5000  0.5000
Li  0.5000  0.0000  0.5000
B  0.5000  0.5000  0.0000
Au  0.5000  0.5000  0.5000


Entry 3:
First-principles (PBE) data for an optimized crystal structure of LaMnBeBr2, as listed in the Alexandria database.

Properties
* M_tot: 4.54 Bohr magnetons per cell
* formation energy without anion corrections: 1.37 eV per formula unit
* raw total energy: -3.961 eV per atom

a b c (Å): 5.7758 5.7758 5.9995
angles (deg): 90.00 90.00 90.00
Positions (direct):
La  0.0000  0.0000  0.0000
Mn  0.5000  0.5000  0.5000
Be  0.0000  0.0000  0.5000
Br  0.0000  0.5000  0.0000
Br  0.5000  0.0000  0.0000